{
  "formula": "AgRuPt2",
  "functional": "PBEsol",
  "state": "optimized geometry",
  "cell": [[2.7313, 0.0000, 0.0000], [0.0000, 2.7313, 0.0000], [0.0000, 0.0000, 7.9808]],
  "species": ["Ag", "Ru", "Pt", "Pt"],
  "fractional_positions": [[0.0000, 0.0000, 0.0000], [0.0000, 0.0000, 0.5000], [0.5000, 0.5000, 0.2686], [0.5000, 0.5000, 0.7314]],
  "magmom_total_mub_per_fu": 0.00,
  "e_form_ev_per_atom": 0.0238
}

{
  "formula": "MgZrRe2",
  "functional": "PBEsol",
  "state": "optimized geometry",
  "cell": [[2.8021, -4.5262, 0.0000], [2.8021, 4.5262, 0.0000], [0.0000, 0.0000, 2.6344]],
  "species": ["Mg", "Zr", "Re", "Re"],
  "fractional_positions": [[0.0000, 0.0000, 0.0000], [0.5000, 0.5000, 0.0000], [0.0000, 0.5000, 0.5000], [0.5000, 0.0000, 0.5000]],
  "magmom_total_mub_per_fu": 0.00,
  "e_form_ev_per_atom": 0.3486
}

{
  "formula": "NaInGe2O6",
  "functional": "PBEsol",
  "state": "optimized geometry",
  "cell": [[5.1350, -4.5717, 0.0000], [5.1350, 4.5717, 0.0000], [-1.6179, 0.0000, 5.3595]],
  "species": ["Na", "Na", "In", "In", "Ge", "Ge", "Ge", "Ge", "O", "O", "O", "O", "O", "O", "O", "O", "O", "O", "O", "O"],
  "fractional_positions": [[0.1939, 0.8061, 0.7500], [0.8061, 0.1939, 0.2500], [0.3986, 0.6014, 0.2500], [0.6014, 0.3986, 0.7500], [0.1186, 0.3011, 0.7560], [0.3011, 0.1186, 0.2560], [0.6989, 0.8814, 0.7440], [0.8814, 0.6989, 0.2440], [0.1165, 0.1632, 0.9903], [0.1185, 0.5940, 0.3378], [0.1632, 0.1165, 0.4903], [0.3051, 0.4725, 0.8565], [0.4060, 0.8815, 0.1622], [0.4725, 0.3051, 0.3565], [0.5275, 0.6949, 0.6435], [0.5940, 0.1185, 0.8378], [0.6949, 0.5275, 0.1435], [0.8368, 0.8835, 0.5097], [0.8815, 0.4060, 0.6622], [0.8835, 0.8368, 0.0097]],
  "formation_energy_uncorrected_ev_per_atom": -1.7387,
  "magmom_total_mub_per_fu": 0.00
}

{
  "formula": "Ni2Pt",
  "functional": "PBEsol",
  "state": "optimized geometry",
  "cell": [[2.6219, 0.0000, 0.0000], [-1.3110, 2.2706, 0.0000], [0.0000, 0.0000, 6.1712]],
  "species": ["Ni", "Ni", "Pt"],
  "fractional_positions": [[0.3333, 0.6667, 0.1525], [0.6667, 0.3333, 0.8475], [0.0000, 0.0000, 0.5000]],
  "magmom_total_mub_per_fu": 1.63,
  "e_form_ev_per_atom": 0.0148
}

{
  "formula": "HgSbRh2",
  "functional": "PBEsol",
  "state": "optimized geometry",
  "cell": [[3.1207, 0.0000, 0.0000], [0.0000, 3.1207, 0.0000], [0.0000, 0.0000, 6.9018]],
  "species": ["Hg", "Sb", "Rh", "Rh"],
  "fractional_positions": [[0.0000, 0.0000, 0.0000], [0.0000, 0.0000, 0.5000], [0.5000, 0.5000, 0.2751], [0.5000, 0.5000, 0.7249]],
  "formation_energy_uncorrected_ev_per_atom": -0.1361,
  "magmom_total_mub_per_fu": 0.00
}

{
  "formula": "Sr2ScTaSb",
  "functional": "PBEsol",
  "state": "optimized geometry",
  "cell": [[5.7884, 0.0000, 0.0000], [0.0000, 5.7884, 0.0000], [0.0000, 0.0000, 5.2771]],
  "species": ["Sr", "Sr", "Sc", "Ta", "Sb"],
  "fractional_positions": [[0.0000, 0.5000, 0.0000], [0.5000, 0.0000, 0.0000], [0.0000, 0.0000, 0.5000], [0.5000, 0.5000, 0.0000], [0.5000, 0.5000, 0.5000]],
  "formation_energy_uncorrected_ev_per_atom": 0.8594,
  "magmom_total_mub_per_fu": 0.86
}